[1]
A relaxed structure of FeHgIF2, computed with GGA+U.

abc: 4.3847 6.0097 4.3847
angles: 90.00 90.00 90.00
Last column: magnetic moment on the atom in μB.
Positions (direct):
I1 0.5000 0.5000 0.5000  -0.01
F1 0.0000 0.0000 0.5000  -0.01
F2 0.5000 0.0000 0.0000  -0.01
Hg1 0.0000 0.0000 0.0000  -0.04
Fe1 0.0000 0.5000 0.0000  3.41

Calculated values
* ρ: 6.1 g/cm3
* uncorrected energy: -2.79 eV/atom
* space-group type: No. 123


[2]
A relaxed structure of K2FeHgF6, computed with GGA+U.

abc: 6.3303 6.3303 6.3303
angles: 60.00 60.00 60.00
Last column: magnetic moment on the atom in μB.
Positions (direct):
K1 0.2500 0.2500 0.2500  0.00
K2 0.7500 0.7500 0.7500  0.00
Fe1 0.0000 0.0000 0.0000  4.36
Hg1 0.5000 0.5000 0.5000  -0.30
F1 0.2190 0.2190 0.7810  0.04
F2 0.2190 0.7810 0.7810  0.04
F3 0.7810 0.7810 0.2190  0.04
F4 0.2190 0.7810 0.2190  0.04
F5 0.7810 0.2190 0.7810  0.04
F6 0.7810 0.2190 0.2190  0.04

Calculated values
* ρ: 4.2 g/cm3
* uncorrected energy: -4.23 eV/atom
* space-group type: No. 225


[3]
A relaxed structure of KFeHgF6, computed with GGA+U.

abc: 5.8033 5.8033 10.4870
angles: 90.00 90.00 120.00
Last column: magnetic moment on the atom in μB.
Positions (direct):
K1 0.0000 0.0000 0.0000  0.00
K2 0.0000 0.0000 0.5000  0.00
Fe1 0.3333 0.6667 0.2500  0.94
Fe2 0.6667 0.3333 0.7500  0.94
Hg1 0.6667 0.3333 0.2500  0.00
Hg2 0.3333 0.6667 0.7500  0.00
F1 0.5983 0.6548 0.1475  0.01
F2 0.0565 0.4017 0.1475  0.01
F3 0.4017 0.0565 0.6475  0.01
F4 0.9435 0.5983 0.8525  0.01
F5 0.3452 0.4017 0.3525  0.01
F6 0.0565 0.6548 0.3525  0.01
F7 0.6548 0.0565 0.8525  0.01
F8 0.5983 0.9435 0.3525  0.01
F9 0.9435 0.3452 0.6475  0.01
F10 0.3452 0.9435 0.1475  0.01
F11 0.6548 0.5983 0.6475  0.01
F12 0.4017 0.3452 0.8525  0.01

Calculated values
* ρ: 4.4 g/cm3
* uncorrected energy: -3.91 eV/atom
* space-group type: No. 163


[4]
A relaxed structure of Li2FeHgF6, computed with GGA+U.

abc: 6.2041 6.2041 6.2041
angles: 60.00 60.00 60.00
Last column: magnetic moment on the atom in μB.
Positions (direct):
Li1 0.7500 0.7500 0.7500  0.00
Li2 0.2500 0.2500 0.2500  0.00
Fe1 0.0000 0.0000 0.0000  4.34
Hg1 0.5000 0.5000 0.5000  -0.24
F1 0.7777 0.2223 0.2223  0.04
F2 0.2223 0.2223 0.7777  0.04
F3 0.2223 0.7777 0.7777  0.04
F4 0.2223 0.7777 0.2223  0.04
F5 0.7777 0.2223 0.7777  0.04
F6 0.7777 0.7777 0.2223  0.04

Calculated values
* ρ: 3.8 g/cm3
* uncorrected energy: -4.08 eV/atom
* space-group type: No. 225


[5]
A relaxed structure of MgFeHgF6, computed with GGA+U.

abc: 5.3875 5.3875 11.0948
angles: 90.00 90.00 120.00
Last column: magnetic moment on the atom in μB.
Positions (direct):
Mg1 0.6667 0.3333 0.2500  0.00
Mg2 0.3333 0.6667 0.7500  0.00
Fe1 0.3333 0.6667 0.2500  4.42
Fe2 0.6667 0.3333 0.7500  4.42
Hg1 0.0000 0.0000 0.0000  -0.41
Hg2 0.0000 0.0000 0.5000  -0.41
F1 0.6159 0.6235 0.1530  0.05
F2 0.0076 0.3841 0.1530  0.05
F3 0.3841 0.0076 0.6530  0.05
F4 0.9924 0.6159 0.8470  0.05
F5 0.3765 0.3841 0.3470  0.05
F6 0.0076 0.6235 0.3470  0.05
F7 0.6235 0.0076 0.8470  0.05
F8 0.6159 0.9924 0.3470  0.05
F9 0.9924 0.3765 0.6530  0.05
F10 0.3765 0.9924 0.1530  0.05
F11 0.6235 0.6159 0.6530  0.05
F12 0.3841 0.3765 0.8470  0.05

Calculated values
* ρ: 4.7 g/cm3
* uncorrected energy: -4.52 eV/atom
* space-group type: No. 163


[6]
A relaxed structure of FeHgMoF2, computed with GGA+U.

abc: 4.5066 5.9623 4.5066
angles: 90.00 90.00 90.00
Last column: magnetic moment on the atom in μB.
Positions (direct):
Mo1 0.0000 0.5000 0.0000  4.01
F1 0.0000 0.0000 0.5000  0.04
F2 0.5000 0.0000 0.0000  0.05
Hg1 0.0000 0.0000 0.0000  0.04
Fe1 0.5000 0.5000 0.5000  3.87

Calculated values
* ρ: 5.4 g/cm3
* uncorrected energy: -3.16 eV/atom
* space-group type: No. 123


[7]
A relaxed structure of FeHgMo2F, computed with GGA+U.

abc: 5.1132 5.0284 5.1132
angles: 90.00 90.00 90.00
Last column: magnetic moment on the atom in μB.
Positions (direct):
Mo1 0.0000 0.0000 0.5000  3.83
Mo2 0.5000 0.0000 0.0000  3.91
F1 0.5000 0.5000 0.5000  0.06
Hg1 0.0000 0.5000 0.0000  -0.01
Fe1 0.0000 0.0000 0.0000  -2.88

Calculated values
* ρ: 5.9 g/cm3
* uncorrected energy: -3.35 eV/atom
* space-group type: No. 123


[8]
A relaxed structure of FeHgN2F, computed with GGA+U.

abc: 3.9186 3.9186 4.0485
angles: 90.00 90.00 90.00
Last column: magnetic moment on the atom in μB.
Positions (direct):
N1 0.0000 0.5000 0.0000  -0.27
N2 0.5000 0.0000 0.0000  -0.27
F1 0.0000 0.0000 0.5000  0.09
Hg1 0.5000 0.5000 0.5000  0.04
Fe1 0.0000 0.0000 0.0000  3.93

Calculated values
* ρ: 8.1 g/cm3
* uncorrected energy: -4.32 eV/atom
* space-group type: No. 123
* energy relative to the lowest polymorph listed for this composition: 0 meV per atom


[9]
A relaxed structure of FeHgNF2, computed with GGA+U.

abc: 3.9262 3.9262 4.3038
angles: 90.00 90.00 90.00
Last column: magnetic moment on the atom in μB.
Positions (direct):
N1 0.0000 0.0000 0.5000  0.24
F1 0.0000 0.5000 0.0000  0.11
F2 0.5000 0.0000 0.0000  0.11
Hg1 0.5000 0.5000 0.5000  0.00
Fe1 0.0000 0.0000 0.0000  4.38

Calculated values
* ρ: 7.7 g/cm3
* uncorrected energy: -4.22 eV/atom
* space-group type: No. 123
* energy relative to the lowest polymorph listed for this composition: 0 meV per atom


[10]
A relaxed structure of FeHgN2F, computed with GGA+U.

abc: 4.1654 4.1654 4.6562
angles: 90.00 90.00 90.00
Last column: magnetic moment on the atom in μB.
Positions (direct):
N1 0.0000 0.5000 0.0000  0.75
N2 0.5000 0.0000 0.0000  0.75
F1 0.0000 0.0000 0.5000  0.03
Hg1 0.0000 0.0000 0.0000  0.07
Fe1 0.5000 0.5000 0.5000  3.49

Calculated values
* ρ: 6.2 g/cm3
* uncorrected energy: -3.34 eV/atom
* space-group type: No. 123
* energy relative to the lowest polymorph listed for this composition: 979 meV per atom


[11]
A relaxed structure of FeHgNF2, computed with GGA+U.

abc: 4.4946 4.4946 4.1761
angles: 90.00 90.00 90.00
Last column: magnetic moment on the atom in μB.
Positions (direct):
N1 0.0000 0.0000 0.5000  0.34
F1 0.0000 0.5000 0.0000  0.02
F2 0.5000 0.0000 0.0000  0.02
Hg1 0.0000 0.0000 0.0000  0.06
Fe1 0.5000 0.5000 0.5000  3.79

Calculated values
* ρ: 6.1 g/cm3
* uncorrected energy: -3.31 eV/atom
* space-group type: No. 123
* energy relative to the lowest polymorph listed for this composition: 911 meV per atom


[12]
A relaxed structure of NaFeHgF6, computed with GGA+U.

abc: 5.7147 5.7147 9.1521
angles: 90.00 90.00 120.00
Last column: magnetic moment on the atom in μB.
Positions (direct):
Na1 0.0000 0.0000 0.0000  0.00
Na2 0.0000 0.0000 0.5000  0.00
Fe1 0.3333 0.6667 0.2500  1.06
Fe2 0.6667 0.3333 0.7500  1.06
Hg1 0.6667 0.3333 0.2500  0.00
Hg2 0.3333 0.6667 0.7500  0.00
F1 0.6139 0.6709 0.1351  -0.01
F2 0.0570 0.3861 0.1351  -0.01
F3 0.3861 0.0570 0.6351  -0.01
F4 0.9430 0.6139 0.8649  -0.01
F5 0.3291 0.3861 0.3649  -0.01
F6 0.0570 0.6709 0.3649  -0.01
F7 0.6709 0.0570 0.8649  -0.01
F8 0.6139 0.9430 0.3649  -0.01
F9 0.9430 0.3291 0.6351  -0.01
F10 0.3291 0.9430 0.1351  -0.01
F11 0.6709 0.6139 0.6351  -0.01
F12 0.3861 0.3291 0.8649  -0.01

Calculated values
* ρ: 5.0 g/cm3
* uncorrected energy: -4.01 eV/atom
* space-group type: No. 163